{
  "formula": "Ba2TeS4",
  "functional": "PBE",
  "state": "relaxed",
  "vol_a3_per_cell": 423.8,
  "total_magnetization_mub_per_cell": 0.000,
  "space_group": "P2_1/m, No. 11",
  "energy_ev_per_atom": -4.5200,
  "lattice_angstrom": [[-3.8931, 6.0146, -1.3770], [-5.3877, -3.7903, -1.3235], [-0.0404, -3.1292, 9.1260]],
  "species": ["S", "S", "S", "S", "S", "S", "S", "S", "Ba", "Ba", "Ba", "Ba", "Te", "Te"],
  "frac_coords": [[0.9049, 0.2500, 0.6009], [0.2012, 0.7500, 0.8912], [0.4411, 0.0127, 0.2560], [0.5589, 0.9873, 0.7440], [0.7988, 0.2500, 0.1088], [0.4411, 0.4873, 0.2560], [0.0951, 0.7500, 0.3991], [0.5589, 0.5127, 0.7440], [0.6806, 0.7500, 0.0820], [0.3194, 0.2500, 0.9180], [0.2012, 0.2500, 0.4326], [0.7988, 0.7500, 0.5674], [0.1997, 0.7500, 0.1616], [0.8003, 0.2500, 0.8384]]
}